Density functional theory data (PBE) for a relaxed TaBeI3 crystal.

As for the magnetic moment: 0.00 μB per formula unit. The calculation puts the energy above the most stable polymorph in this dataset at 0 meV/atom.

Geometry as POSCAR:
```
TaBeI3
1.0
-3.0214 -4.4609 -1.3960
2.1959 -2.8221 4.2651
-4.1263 1.7646 3.2920
I Be Ta
3 1 1
Direct
0.0000 0.5000 0.0000
0.0000 0.0000 0.5000
0.5000 0.0000 0.0000
0.5000 0.5000 0.5000
0.0000 0.0000 0.0000
```